Compound: Sc3TlH
Source: Alexandria via LeMat-Bulk
Functional: PBE-GGA
Structure: relaxed

Its size of the total moment is 0.90 μB per formula unit. As for the total energy: -5.19 eV/atom. The energy above the most stable polymorph in this dataset is 125 meV per atom.

a = 3.598 Å, b = 7.027 Å, c = 7.643 Å
α = 90.00°, β = 90.00°, γ = 90.00°
Space group Amm2 (No. 38)
One atom of each set of equivalent atoms:
Sc (0.000, 0.000, 0.000) (multiplicity 2)
Sc (0.500, 0.237, 0.271) (multiplicity 4)
Tl (0.000, 0.000, 0.531) (multiplicity 2)
H (0.500, 0.000, 0.873) (multiplicity 2)

Compound: NaTc2W2
Source: Alexandria via LeMat-Bulk
Functional: PBE-GGA
Structure: relaxed

Its size of the total moment is 0.00 μB per formula unit. As for the total energy: -8.85 eV/atom. The energy above the most stable polymorph in this dataset is 275 meV per atom.

a = 4.283 Å, b = 4.283 Å, c = 10.872 Å
α = 90.00°, β = 90.00°, γ = 90.00°
Space group I4/mmm (No. 139)
One atom of each set of equivalent atoms:
Na (0.000, 0.000, 0.000) (multiplicity 2)
Tc (0.000, 0.500, 0.250) (multiplicity 4)
W (0.000, 0.000, 0.372) (multiplicity 4)

What did the second record say?
Compound: NaTc2W2
Source: Alexandria via LeMat-Bulk
Functional: PBE-GGA
Structure: relaxed

Its size of the total moment is 0.00 μB per formula unit. As for the total energy: -8.85 eV/atom. The energy above the most stable polymorph in this dataset is 275 meV per atom.

a = 4.283 Å, b = 4.283 Å, c = 10.872 Å
α = 90.00°, β = 90.00°, γ = 90.00°
Space group I4/mmm (No. 139)
One atom of each set of equivalent atoms:
Na (0.000, 0.000, 0.000) (multiplicity 2)
Tc (0.000, 0.500, 0.250) (multiplicity 4)
W (0.000, 0.000, 0.372) (multiplicity 4)

Q: Which value of size of the total moment does entry 1 give?
A: 0.90 μB per formula unit

Q: size of the total moment of number 2 (NaTc2W2)?
A: 0.00 μB per formula unit

What did the second record say?
Compound: NaTc2W2
Source: Alexandria via LeMat-Bulk
Functional: PBE-GGA
Structure: relaxed

Its size of the total moment is 0.00 μB per formula unit. As for the total energy: -8.85 eV/atom. The energy above the most stable polymorph in this dataset is 275 meV per atom.

a = 4.283 Å, b = 4.283 Å, c = 10.872 Å
α = 90.00°, β = 90.00°, γ = 90.00°
Space group I4/mmm (No. 139)
One atom of each set of equivalent atoms:
Na (0.000, 0.000, 0.000) (multiplicity 2)
Tc (0.000, 0.500, 0.250) (multiplicity 4)
W (0.000, 0.000, 0.372) (multiplicity 4)